P | Computed, not measured: an optimized crystal structure of CrFeIr at the PBE level of DFT.

The structure belongs to space group C2/m (No. 12); the cell edges are 8.6623, 2.6997 and 6.8597 Å and the angles 90.00°, 97.47° and 90.00°. The asymmetric unit holds Cr at (0.1492, 0.0000, 0.1123), Fe at (0.1332, 0.5000, 0.4281) and Ir at (0.1057, 0.0000, 0.7491).

Q | Computed, not measured: an optimized crystal structure of CrFeIr at the PBE level of DFT.

The structure belongs to space group I4mm (No. 107); the cell edges are 2.6362, 2.6362 and 10.8917 Å and the angles 90.00°, 90.00° and 90.00°. The asymmetric unit holds Cr at (0.0000, 0.0000, 0.0000), Fe at (0.0000, 0.0000, 0.3407) and Ir at (0.0000, 0.0000, 0.6661).

Going by the computed energies, the most stable comes first: Q, P.

P | Computed, not measured: an optimized crystal structure of CrFeIr at the PBE level of DFT.

The structure belongs to space group P-6m2 (No. 187); the cell edges are 4.0601, 4.0601 and 2.6273 Å and the angles 90.00°, 90.00° and 120.00°. The asymmetric unit holds Cr at (0.0000, 0.0000, 0.0000), Fe at (0.6667, 0.3333, 0.0000) and Ir at (0.3333, 0.6667, 0.5000).

Q | Computed, not measured: an optimized crystal structure of CrFeIr at the PBE level of DFT.

The structure belongs to space group Imm2 (No. 44); the cell edges are 2.6526, 3.6434 and 7.8853 Å and the angles 90.00°, 90.00° and 90.00°. The asymmetric unit holds Cr at (0.0000, 0.0000, 0.0000), Fe at (0.0000, 0.0000, 0.6646) and Ir at (0.0000, 0.0000, 0.3349).

R | Computed, not measured: an optimized crystal structure of CrFeIr at the PBE level of DFT.

The structure belongs to space group P3m1 (No. 156); the cell edges are 2.6445, 2.6445 and 6.3112 Å and the angles 90.00°, 90.00° and 120.00°. The asymmetric unit holds Cr at (0.0000, 0.0000, 0.0000), Fe at (0.6667, 0.3333, 0.3163) and Ir at (0.3333, 0.6667, 0.6628).

Going by the computed energies, the most stable comes first: P, Q, R.

P | Computed, not measured: an optimized crystal structure of Cr2FeIr4 at the PBE level of DFT.

The structure belongs to space group Cmmm (No. 65); the cell edges are 6.7094, 7.8418 and 3.7840 Å and the angles 90.00°, 90.00° and 90.00°. The asymmetric unit holds Cr at (0.0000, 0.2225, 0.0000), Fe at (0.0000, 0.0000, 0.5000), Ir at (0.2064, 0.5000, 0.0000) and Ir at (0.2500, 0.2500, 0.5000).

Q | Computed, not measured: an optimized crystal structure of Cr2FeIr4 at the PBE level of DFT.

The structure belongs to space group Cm (No. 8); the cell edges are 10.0102, 7.7652 and 5.3183 Å and the angles 90.00°, 105.24° and 90.00°. The asymmetric unit holds Cr at (0.0000, 0.0000, 0.0000), Cr at (0.0176, 0.0000, 0.5140), Cr at (0.3860, 0.2508, 0.4545), Fe at (0.0029, 0.5000, 0.0091), Fe at (0.0150, 0.5000, 0.5129), Ir at (0.1125, 0.2479, 0.8179), Ir at (0.1236, 0.2491, 0.3120), Ir at (0.2795, 0.0000, 0.1440), Ir at (0.2817, 0.0000, 0.6519), Ir at (0.2836, 0.5000, 0.1432) and Ir at (0.2838, 0.5000, 0.6502).

Going by the computed energies, the most stable comes first: Q, P.

P | Computed, not measured: an optimized crystal structure of Cr2Fe2Ir at the PBE level of DFT.

The structure belongs to space group P4/mbm (No. 127); the cell edges are 6.6298, 6.6298 and 2.6703 Å and the angles 90.00°, 90.00° and 90.00°. The asymmetric unit holds Cr at (0.1722, 0.3278, 0.0000), Fe at (0.1274, 0.6274, 0.5000) and Ir at (0.0000, 0.0000, 0.5000).

Q | Computed, not measured: an optimized crystal structure of Cr2Fe2Ir at the PBE level of DFT.

The structure belongs to space group P4/mbm (No. 127); the cell edges are 6.7371, 6.7371 and 2.6047 Å and the angles 90.00°, 90.00° and 90.00°. The asymmetric unit holds Cr at (0.1174, 0.3826, 0.0000), Fe at (0.1797, 0.6797, 0.5000) and Ir at (0.0000, 0.0000, 0.0000).

Going by the computed energies, the most stable comes first: P, Q.

P | Computed, not measured: an optimized crystal structure of KCrFe at the PBE level of DFT.

The structure belongs to space group F-43m (No. 216); the cell edges are 7.2550, 7.2550 and 7.2550 Å and the angles 90.00°, 90.00° and 90.00°. The asymmetric unit holds K at (0.0000, 0.0000, 0.0000), Cr at (0.2500, 0.2500, 0.7500) and Fe at (0.2500, 0.2500, 0.2500).

Q | Computed, not measured: an optimized crystal structure of KCrFe at the PBE level of DFT.

The structure belongs to space group F-43m (No. 216); the cell edges are 6.7857, 6.7857 and 6.7857 Å and the angles 90.00°, 90.00° and 90.00°. The asymmetric unit holds K at (0.0000, 0.0000, 0.0000), Cr at (0.0000, 0.0000, 0.5000) and Fe at (0.2500, 0.2500, 0.7500).

Going by the computed energies, the most stable comes first: Q, P.

P | Computed, not measured: an optimized crystal structure of KCrFe at the PBE level of DFT.

The structure belongs to space group P3m1 (No. 156); the cell edges are 3.2032, 3.2032 and 7.1749 Å and the angles 90.00°, 90.00° and 120.00°. The asymmetric unit holds K at (0.0000, 0.0000, 0.0000), Cr at (0.3333, 0.6667, 0.4477) and Fe at (0.6667, 0.3333, 0.5972).

Q | Computed, not measured: an optimized crystal structure of KCrFe at the PBE level of DFT.

The structure belongs to space group Imm2 (No. 44); the cell edges are 2.8950, 3.6227 and 12.4762 Å and the angles 90.00°, 90.00° and 90.00°. The asymmetric unit holds K at (0.0000, 0.0000, 0.0000), Cr at (0.0000, 0.0000, 0.7317) and Fe at (0.0000, 0.0000, 0.2750).

R | Computed, not measured: an optimized crystal structure of KCrFe at the PBE level of DFT.

The structure belongs to space group P3m1 (No. 156); the cell edges are 5.2827, 5.2827 and 2.7953 Å and the angles 90.00°, 90.00° and 120.00°. The asymmetric unit holds K at (0.0000, 0.0000, 0.0000), Cr at (0.6667, 0.3333, 0.3464) and Fe at (0.3333, 0.6667, 0.6619).

Going by the computed energies, the most stable comes first: Q, P, R.